(1)
# TmBeSi2Ru, optimized geometry, DFT PBE
data_TmBeSi2Ru
_cell_length_a 3.8515
_cell_length_b 3.8515
_cell_length_c 10.3182
_cell_angle_alpha 90.00
_cell_angle_beta 90.00
_cell_angle_gamma 90.00
_symmetry_space_group_name_H-M 'I -4 m 2'
_symmetry_Int_Tables_number 119
_symmetry_space_group_name_Hall 'I -4 -2'
loop_
_atom_site_label
_atom_site_fract_x
_atom_site_fract_y
_atom_site_fract_z
Tm1 0.0000 0.0000 0.0000
Be1 0.0000 0.5000 0.2500
Si1 0.0000 0.0000 0.3838
Ru1 0.0000 0.5000 0.7500
# VASP energy: -62.884 eV/cell

---

(2)
# U2Be3Si4Ru, optimized geometry, DFT PBE
data_U2Be3Si4Ru
_cell_length_a 3.9149
_cell_length_b 3.9149
_cell_length_c 9.5469
_cell_angle_alpha 90.00
_cell_angle_beta 90.00
_cell_angle_gamma 90.00
_symmetry_space_group_name_H-M 'P -4 m 2'
_symmetry_Int_Tables_number 115
_symmetry_space_group_name_Hall 'P -4 -2'
loop_
_atom_site_label
_atom_site_fract_x
_atom_site_fract_y
_atom_site_fract_z
U1 0.0000 0.5000 0.2423
Be1 0.0000 0.5000 0.8739
Be2 0.5000 0.5000 0.5000
Si1 0.0000 0.0000 0.0000
Si2 0.0000 0.5000 0.6419
Si3 0.5000 0.5000 0.0000
Ru1 0.0000 0.0000 0.5000
# VASP energy: -67.688 eV/cell

---

(3)
# Be2V2SiRu5, optimized geometry, DFT PBE
data_Be2V2SiRu5
_cell_length_a 9.1228
_cell_length_b 9.1228
_cell_length_c 2.9968
_cell_angle_alpha 90.00
_cell_angle_beta 90.00
_cell_angle_gamma 90.00
_symmetry_space_group_name_H-M 'P 4/m b m'
_symmetry_Int_Tables_number 127
_symmetry_space_group_name_Hall '-P 4 2ab'
loop_
_atom_site_label
_atom_site_fract_x
_atom_site_fract_y
_atom_site_fract_z
Be1 0.1265 0.3735 0.0000
V1 0.1717 0.6717 0.0000
Si1 0.0000 0.0000 0.0000
Ru1 0.0000 0.5000 0.5000
Ru2 0.0730 0.2020 0.5000
# VASP energy: -161.717 eV/cell

---

(4)
# YBeSi2Ru2, optimized geometry, DFT PBE
data_YBeSi2Ru2
_cell_length_a 4.2046
_cell_length_b 4.2046
_cell_length_c 5.2312
_cell_angle_alpha 90.00
_cell_angle_beta 90.00
_cell_angle_gamma 90.00
_symmetry_space_group_name_H-M 'P 4/m m m'
_symmetry_Int_Tables_number 123
_symmetry_space_group_name_Hall '-P 4 2'
loop_
_atom_site_label
_atom_site_fract_x
_atom_site_fract_y
_atom_site_fract_z
Y1 0.0000 0.0000 0.0000
Be1 0.0000 0.0000 0.5000
Si1 0.5000 0.5000 0.2342
Ru1 0.0000 0.5000 0.5000
# VASP energy: -43.196 eV/cell

---

(5)
# YBe2SiRu, optimized geometry, DFT PBE
data_YBe2SiRu
_cell_length_a 3.7829
_cell_length_b 3.8265
_cell_length_c 10.1954
_cell_angle_alpha 90.00
_cell_angle_beta 90.00
_cell_angle_gamma 90.00
_symmetry_space_group_name_H-M 'I m m 2'
_symmetry_Int_Tables_number 44
_symmetry_space_group_name_Hall 'I 2 -2'
loop_
_atom_site_label
_atom_site_fract_x
_atom_site_fract_y
_atom_site_fract_z
Y1 0.0000 0.0000 0.0000
Be1 0.0000 0.0000 0.6170
Be2 0.0000 0.5000 0.2470
Si1 0.0000 0.0000 0.3799
Ru1 0.0000 0.5000 0.7401
# VASP energy: -61.361 eV/cell
# E above lowest polymorph: 0 meV per atom

---

(6)
# YBe2SiRu, optimized geometry, DFT PBE
data_YBe2SiRu
_cell_length_a 4.2832
_cell_length_b 4.2832
_cell_length_c 4.4708
_cell_angle_alpha 90.00
_cell_angle_beta 90.00
_cell_angle_gamma 90.00
_symmetry_space_group_name_H-M 'P 4/m m m'
_symmetry_Int_Tables_number 123
_symmetry_space_group_name_Hall '-P 4 2'
loop_
_atom_site_label
_atom_site_fract_x
_atom_site_fract_y
_atom_site_fract_z
Y1 0.0000 0.0000 0.0000
Be1 0.0000 0.5000 0.5000
Si1 0.5000 0.5000 0.0000
Ru1 0.5000 0.5000 0.5000
# VASP energy: -29.828 eV/cell
# E above lowest polymorph: 170 meV per atom